Material: FeAs2HF
Method: DFT, meta-GGA SCAN
State: PBEsol geometry

Lattice parameters (Å, degrees): 4.564 4.564 3.670 90.00 90.00 90.00
Space group P4/mmm (No. 123)
Asymmetric unit:
Fe (0.000, 0.000, 0.000) [1 per cell]
As (0.000, 0.500, 0.000) [2 per cell]
H (0.500, 0.500, 0.500) [1 per cell]
F (0.000, 0.000, 0.500) [1 per cell]

Spin magnetization = 0.403 μB per atom



Material: MgFeAsF2
Method: DFT, meta-GGA SCAN
State: PBEsol geometry

Lattice parameters (Å, degrees): 3.777 3.777 6.536 90.00 90.00 90.00
Space group P4/mmm (No. 123)
Asymmetric unit:
Mg (0.000, 0.000, 0.000) [1 per cell]
Fe (0.000, 0.000, 0.500) [1 per cell]
As (0.500, 0.500, 0.000) [1 per cell]
F (0.000, 0.500, 0.500) [2 per cell]

Spin magnetization = 0.938 μB per atom
Uncorrected formation energy = -1.196 eV/atom



| no. | DOS(E_F) (states/eV per cell) | volume (Å³/cell) | uncorrected energy (eV/atom) |
| --- | --- | --- | --- |
| 1 | 1.257 | 76.44 | -12.898 |
| 2 | 2.138 | 93.24 | -11.271 |